The following is a DFT calculation (PBE-GGA) of a relaxed Ti2Te crystal.

Cell and atoms, written as POSCAR:
```
Ti2Te
1.0
4.290 0.009 0.004
2.152 3.665 0.849
0.004 0.321 9.664
Ti Te
4 2
direct
0.130 0.866 0.121
0.406 0.312 0.954
0.019 0.088 0.787
0.740 0.646 0.954
0.642 0.844 0.645
0.847 0.434 0.264
```

Summary:
The calculation puts the formation energy without anion corrections at -0.17 eV/atom. Its total energy is -6.48 eV/atom. Its space group is P1. Its theoretical density is 4.92 g/cm3.

The following is a DFT calculation (PBE-GGA) of a relaxed TiTe crystal.

Cell and atoms, written as POSCAR:
```
TiTe
1.0
-3.371 -0.746 1.221
0.451 -3.520 -0.905
3.814 0.950 5.619
Ti Te
2 2
direct
0.167 0.167 0.334
0.917 0.417 0.834
0.751 0.751 0.501
0.501 0.001 0.001
```

Summary:
The calculation puts the formation energy without anion corrections at -0.63 eV/atom. Its total energy is -6.15 eV/atom. Its space group is I4_1md. Its theoretical density is 6.84 g/cm3.

The following is a DFT calculation (PBE-GGA) of a relaxed TiTe crystal.

Cell and atoms, written as POSCAR:
```
TiTe
1.0
3.623 0.000 0.000
-1.811 3.137 0.000
0.000 0.000 7.660
Ti Te
2 2
direct
0.667 0.333 0.750
0.333 0.667 0.250
0.000 0.000 0.500
0.000 0.000 0.000
```

Summary:
The calculation puts the formation energy without anion corrections at -0.36 eV/atom. Its total energy is -5.88 eV/atom. Its space group is P6_3/mmc. Its theoretical density is 6.69 g/cm3.

The following is a DFT calculation (PBE-GGA) of a relaxed TiTe crystal.

Cell and atoms, written as POSCAR:
```
TiTe
1.0
7.807 0.000 0.000
0.000 7.807 0.000
0.000 0.000 7.807
Ti Te
6 6
direct
0.250 0.500 0.000
0.750 0.500 0.000
0.500 0.000 0.250
0.500 0.000 0.750
0.000 0.250 0.500
0.000 0.750 0.500
0.250 0.000 0.500
0.750 0.000 0.500
0.000 0.500 0.250
0.000 0.500 0.750
0.500 0.250 0.000
0.500 0.750 0.000
```

Summary:
The calculation puts the formation energy without anion corrections at -0.08 eV/atom. Its total energy is -5.59 eV/atom. Its space group is Pm-3n. Its theoretical density is 3.67 g/cm3.

> Which of these has the highest theoretical density?

number 2

> Which formula does entry 3 have?

TiTe

> Look up the formation energy without anion corrections of the third one.

-0.36 eV/atom